No. 1
## UBiI (PBE)

Data for UBiI after structural relaxation.

Cell: 5.4276 5.4276 3.5212 Å, 90.00 90.00 120.00°
Last column: nearest neighbours and their distance in Å.
Atoms (fractional coordinates):
U 0.0000 0.0000 0.0000  3 I 3.13
Bi 0.6667 0.3333 0.5000  2 Bi 3.52, 6 U 3.59, 6 I 3.59
I 0.3333 0.6667 0.0000  3 U 3.13

Results
energy above the most stable polymorph in this dataset = 194 meV/atom
mass density = 10609 kg/m3

No. 2
## Ca2CeSi6 (PBE)

Data for Ca2CeSi6 after structural relaxation.

Cell: 7.0748 7.0748 4.2045 Å, 90.00 90.00 120.00°
Last column: nearest neighbours and their distance in Å.
Atoms (fractional coordinates):
Ca 0.3333 0.6667 0.0000  12 Si 3.16
Ca 0.6667 0.3333 0.0000  12 Si 3.16
Ce 0.0000 0.0000 0.0000  12 Si 3.15
Si 0.0000 0.3321 0.5000  3 Si 2.35-2.38
Si 0.0000 0.6679 0.5000  3 Si 2.35-2.38
Si 0.3321 0.0000 0.5000  3 Si 2.35-2.38
Si 0.3321 0.3321 0.5000  3 Si 2.35-2.38
Si 0.6679 0.0000 0.5000  3 Si 2.35-2.38
Si 0.6679 0.6679 0.5000  3 Si 2.35-2.38

Results
total energy = -5.135 eV/atom
mass density = 3542 kg/m3

Q: Look up the mass density of the second one.
A: 3542 kg/m3